Here is a relaxed GeTe2Br crystal from Alexandria. Energies are from PBEsol.

Computed properties:
Fermi-level density of states ... 4.49 states/eV/f.u.
Energy above the lowest structure with this stoichiometry ... 0 meV per atom
E ... -0.1227 hartree per atom

CIF file:
```
data_GeTe2Br
_cell_length_a 6.8390
_cell_length_b 6.8390
_cell_length_c 6.8390
_cell_angle_alpha 112.24
_cell_angle_beta 112.24
_cell_angle_gamma 104.06
_space_group_name_H-M_alt 'P 1'
_space_group_IT_number 1
_space_group_name_Hall 'P 1'
loop_
_atom_site_label
_atom_site_type_symbol
_atom_site_fract_x
_atom_site_fract_y
_atom_site_fract_z
Ge1 Ge 0.0000 0.0000 0.0000
Ge2 Ge 0.7500 0.2500 0.5000
Te1 Te 0.0733 0.1250 0.4483
Te2 Te 0.3750 0.9267 0.0517
Te3 Te 0.6767 0.6250 0.5517
Te4 Te 0.8750 0.3233 0.9483
Br1 Br 0.2500 0.7500 0.5000
Br2 Br 0.5000 0.5000 0.0000
```